Entry 1:
DFT (PBE) results for crystalline Cs2HgS8 at its relaxed geometry.

a = 7.4646 Å, b = 5.9770 Å, c = 13.2881 Å
α = 113.33°, β = 85.96°, γ = 130.96°
Last column: nearest neighbours and their distance in Å.
Fractional positions:
S: 0.1416 0.7301 0.0713  1 S 2.11
S: 0.9086 0.1252 0.4375  1 S 1.97
S: 0.0914 0.8748 0.5625  1 S 1.97
S: 0.0216 0.1545 0.6464  2 S 1.97-2.04
S: 0.9784 0.8455 0.3536  2 S 1.97-2.04
S: 0.3244 0.6508 0.7425  1 S 2.04
S: 0.8584 0.2699 0.9287  1 S 2.11
S: 0.6755 0.3492 0.2575  1 S 2.04
Cs: 0.7183 0.4707 0.7336  9 S 3.60-3.90
Cs: 0.2817 0.5293 0.2664  9 S 3.60-3.90
Hg: 0.5000 0.0000 0.0000  2 S 2.42

Computed properties:
For the volume, the calculation gives 35.954 Å³/atom. Its density is 3.04 g/cm3. Its total magnetization is 0.00 μB/cell. As for the uncorrected formation energy: -0.373 eV/atom.


Entry 2:
DFT (PBE) results for crystalline CsHg6S8 at its relaxed geometry.

a = 7.5325 Å, b = 7.5325 Å, c = 7.5325 Å
α = 98.31°, β = 98.31°, γ = 98.31°
Last column: nearest neighbours and their distance in Å.
Fractional positions:
Hg: 0.3718 0.8130 0.7558  2 S 2.50-2.52
Hg: 0.7558 0.3718 0.8130  2 S 2.50-2.52
Hg: 0.2442 0.6282 0.1870  2 S 2.50-2.52
Hg: 0.8130 0.7558 0.3718  2 S 2.50-2.52
Hg: 0.1870 0.2442 0.6282  2 S 2.50-2.52
Hg: 0.6282 0.1870 0.2442  2 S 2.50-2.52
S: 0.5938 0.5938 0.5938  1 S 2.06
S: 0.8439 0.4309 0.1511  2 Hg 2.50-2.52
S: 0.5691 0.8489 0.1561  2 Hg 2.50-2.52
S: 0.4062 0.4062 0.4062  1 S 2.06
S: 0.1511 0.8439 0.4309  2 Hg 2.50-2.52
S: 0.1561 0.5691 0.8489  2 Hg 2.50-2.52
S: 0.4309 0.1511 0.8439  2 Hg 2.50-2.52
S: 0.8489 0.1561 0.5691  2 Hg 2.50-2.52
Cs: 0.0000 0.0000 0.0000  6 S 3.69, 6 Hg 3.88

Computed properties:
For the volume, the calculation gives 27.495 Å³/atom. Its density is 6.41 g/cm3. Its total magnetization is 0.00 μB/cell. Its density of states at the Fermi level is 0.763 states/eV/atom. As for the uncorrected formation energy: -0.113 eV/atom.


Entry 3:
DFT (PBE) results for crystalline Cs12Hg5S3 at its relaxed geometry.

a = 18.4906 Å, b = 18.4906 Å, c = 18.4906 Å
α = 109.47°, β = 109.47°, γ = 109.47°
Last column: nearest neighbours and their distance in Å.
Fractional positions:
S: 0.2500 0.1250 0.3750  4 Cs 3.42
S: 0.6250 0.2500 0.3750  4 Cs 3.42
S: 0.8750 0.7500 0.1250  4 Cs 3.42
S: 0.2500 0.6250 0.8750  4 Cs 3.42
S: 0.1250 0.2500 0.8750  4 Cs 3.42
S: 0.3750 0.6250 0.2500  4 Cs 3.42
S: 0.7500 0.3750 0.1250  4 Cs 3.42
S: 0.3750 0.7500 0.6250  4 Cs 3.42
S: 0.1250 0.8750 0.7500  4 Cs 3.42
S: 0.7500 0.8750 0.6250  4 Cs 3.42
S: 0.6250 0.3750 0.7500  4 Cs 3.42
S: 0.8750 0.1250 0.2500  4 Cs 3.42
Hg: 0.0000 0.0000 0.5000  6 Cs 3.81
Hg: 0.5000 0.0000 0.5000  6 Cs 3.81
Hg: 0.5000 0.5000 0.0000  6 Cs 3.81
Hg: 0.7500 0.6250 0.3750  4 Cs 3.66
Hg: 0.3750 0.1250 0.7500  4 Cs 3.66
Hg: 0.6250 0.7500 0.8750  4 Cs 3.66
Hg: 0.2500 0.8750 0.1250  4 Cs 3.66
Hg: 0.8750 0.6250 0.7500  4 Cs 3.66
Hg: 0.0000 0.0000 0.0000  6 Cs 3.81
Hg: 0.5000 0.5000 0.5000  6 Cs 3.81
Hg: 0.2500 0.3750 0.6250  4 Cs 3.66
Hg: 0.6250 0.8750 0.2500  4 Cs 3.66
Hg: 0.5000 0.0000 0.0000  6 Cs 3.81
Hg: 0.1250 0.3750 0.2500  4 Cs 3.66
Hg: 0.3750 0.2500 0.1250  4 Cs 3.66
Hg: 0.7500 0.1250 0.8750  4 Cs 3.66
Hg: 0.1250 0.7500 0.3750  4 Cs 3.66
Hg: 0.8750 0.2500 0.6250  4 Cs 3.66
Hg: 0.0000 0.5000 0.0000  6 Cs 3.81
Hg: 0.0000 0.5000 0.5000  6 Cs 3.81
Cs: 0.3852 0.2562 0.3281  1 S 3.42, 2 Hg 3.66-3.81
Cs: 0.8709 0.2562 0.4280  1 S 3.42, 2 Hg 3.66-3.81
Cs: 0.7438 0.6148 0.1719  1 S 3.42, 2 Hg 3.66-3.81
Cs: 0.8852 0.8281 0.7562  1 S 3.42, 2 Hg 3.66-3.81
Cs: 0.1148 0.9429 0.3709  1 S 3.42, 2 Hg 3.66-3.81
Cs: 0.6148 0.7438 0.6719  1 S 3.42, 2 Hg 3.66-3.81
Cs: 0.2562 0.3852 0.8281  1 S 3.42, 2 Hg 3.66-3.81
Cs: 0.7438 0.1291 0.0720  1 S 3.42, 2 Hg 3.66-3.81
Cs: 0.2438 0.5720 0.6291  1 S 3.42, 2 Hg 3.66-3.81
Cs: 0.0571 0.1719 0.4280  1 S 3.42, 2 Hg 3.66-3.81
Cs: 0.9280 0.3709 0.2562  1 S 3.42, 2 Hg 3.66-3.81
Cs: 0.7562 0.3281 0.8852  1 S 3.42, 2 Hg 3.66-3.81
Cs: 0.1719 0.0571 0.9280  1 S 3.42, 2 Hg 3.66-3.81
Cs: 0.5571 0.9280 0.6719  1 S 3.42, 2 Hg 3.66-3.81
Cs: 0.8709 0.6148 0.9429  1 S 3.42, 2 Hg 3.66-3.81
Cs: 0.4280 0.7562 0.8709  1 S 3.42, 2 Hg 3.66-3.81
Cs: 0.0720 0.6291 0.7438  1 S 3.42, 2 Hg 3.66-3.81
Cs: 0.3709 0.4429 0.1148  1 S 3.42, 2 Hg 3.66-3.81
Cs: 0.8281 0.9429 0.0720  1 S 3.42, 2 Hg 3.66-3.81
Cs: 0.3852 0.1291 0.5571  1 S 3.42, 2 Hg 3.66-3.81
Cs: 0.6291 0.5571 0.8852  1 S 3.42, 2 Hg 3.66-3.81
Cs: 0.6719 0.4280 0.5571  1 S 3.42, 2 Hg 3.66-3.81
Cs: 0.4429 0.3709 0.6148  1 S 3.42, 2 Hg 3.66-3.81
Cs: 0.2438 0.6719 0.1148  1 S 3.42, 2 Hg 3.66-3.81
Cs: 0.1719 0.1148 0.7438  1 S 3.42, 2 Hg 3.66-3.81
Cs: 0.9429 0.8281 0.5720  1 S 3.42, 2 Hg 3.66-3.81
Cs: 0.0720 0.4429 0.8281  1 S 3.42, 2 Hg 3.66-3.81
Cs: 0.6719 0.2438 0.6148  1 S 3.42, 2 Hg 3.66-3.81
Cs: 0.0571 0.8852 0.1291  1 S 3.42, 2 Hg 3.66-3.81
Cs: 0.5571 0.6291 0.3852  1 S 3.42, 2 Hg 3.66-3.81
Cs: 0.5720 0.2438 0.1291  1 S 3.42, 2 Hg 3.66-3.81
Cs: 0.5720 0.3281 0.9429  1 S 3.42, 2 Hg 3.66-3.81
Cs: 0.4429 0.0720 0.3281  1 S 3.42, 2 Hg 3.66-3.81
Cs: 0.6291 0.0720 0.2438  1 S 3.42, 2 Hg 3.66-3.81
Cs: 0.3709 0.9280 0.7562  1 S 3.42, 2 Hg 3.66-3.81
Cs: 0.2562 0.8709 0.9280  1 S 3.42, 2 Hg 3.66-3.81
Cs: 0.3281 0.5720 0.4429  1 S 3.42, 2 Hg 3.66-3.81
Cs: 0.1148 0.1719 0.2438  1 S 3.42, 2 Hg 3.66-3.81
Cs: 0.7562 0.4280 0.3709  1 S 3.42, 2 Hg 3.66-3.81
Cs: 0.8852 0.0571 0.6291  1 S 3.42, 2 Hg 3.66-3.81
Cs: 0.1291 0.7438 0.5720  1 S 3.42, 2 Hg 3.66-3.81
Cs: 0.3281 0.7562 0.3852  1 S 3.42, 2 Hg 3.66-3.81
Cs: 0.9280 0.5571 0.1719  1 S 3.42, 2 Hg 3.66-3.81
Cs: 0.4280 0.6719 0.0571  1 S 3.42, 2 Hg 3.66-3.81
Cs: 0.9429 0.1148 0.8709  1 S 3.42, 2 Hg 3.66-3.81
Cs: 0.1291 0.3852 0.0571  1 S 3.42, 2 Hg 3.66-3.81
Cs: 0.6148 0.8709 0.4429  1 S 3.42, 2 Hg 3.66-3.81
Cs: 0.8281 0.8852 0.2562  1 S 3.42, 2 Hg 3.66-3.81

Computed properties:
For the volume, the calculation gives 60.833 Å³/atom. Its density is 3.68 g/cm3. Its total magnetization is 0.01 μB/cell. Its density of states at the Fermi level is 0.862 states/eV/atom. As for the uncorrected formation energy: -0.367 eV/atom.


| no. | calculated total energy (eV/atom) |
| --- | --- |
| 1 | -3.5576 |
| 2 | -2.4917 |
| 3 | -1.5733 |